No. 1
VASP calculation (PBE) on a relaxed structure of Sm6InPb5.

Symmetry   Immm, No. 71
Uncorrected energy   -55.10 eV for the cell shown

a = 5.8127 Å, b = 9.8426 Å, c = 9.8426 Å
α = 125.16°, β = 107.17°, γ = 107.17°
Sites, in units of the cell vectors:
Sm: 0.2522 0.0849 0.4192
Sm: 0.2458 0.7461 0.7461
Pb: 0.5000 0.5000 0.5000
In: 0.0000 0.0000 0.0000
Pb: 0.0000 0.3319 0.6681
Pb: 0.0000 0.6681 0.3319
Sm: 0.7542 0.2539 0.2539
Sm: 0.7478 0.5808 0.9151
Pb: 0.5000 0.8359 0.1641
Pb: 0.5000 0.1641 0.8359
Sm: 0.2522 0.4192 0.0849
Sm: 0.7478 0.9151 0.5808

---

No. 2
VASP calculation (PBE) on a relaxed structure of Sm7In2Pb2.

Symmetry   Cmmm, No. 65
Uncorrected energy   -47.05 eV for the cell shown

a = 7.0861 Å, b = 7.8606 Å, c = 7.0861 Å
α = 90.00°, β = 109.52°, γ = 90.00°
Sites, in units of the cell vectors:
Sm: 0.0000 0.0000 0.0000
Sm: 0.5003 0.7090 0.9998
Sm: 0.0002 0.7090 0.4997
Sm: 0.5002 0.7516 0.4998
Pb: 0.1854 0.5000 0.1854
Pb: 0.8146 0.5000 0.8146
Sm: 0.4997 0.2910 0.0002
In: 0.7162 0.0000 0.2838
In: 0.2838 0.0000 0.7162
Sm: 0.4998 0.2484 0.5002
Sm: 0.9998 0.2910 0.5003

---

No. 3
VASP calculation (PBE) on a relaxed structure of Sm6InPb.

Symmetry   P4/mmm, No. 123
Uncorrected energy   -37.18 eV for the cell shown

a = 4.9405 Å, b = 4.9405 Å, c = 9.8686 Å
α = 90.00°, β = 90.00°, γ = 90.00°
Sites, in units of the cell vectors:
Sm: 0.0000 0.5000 0.7487
Sm: 0.5000 0.5000 0.0000
In: 0.0000 0.0000 0.5000
Sm: 0.5000 0.5000 0.5000
Sm: 0.5000 0.0000 0.2513
Sm: 0.5000 0.0000 0.7487
Pb: 0.0000 0.0000 0.0000
Sm: 0.0000 0.5000 0.2513

---

No. 4
VASP calculation (PBE) on a relaxed structure of Sm6In5Pb.

Excess energy over the best structure of this formula in the dataset   11.6 meV per atom
Symmetry   C2/m, No. 12

a = 5.4514 Å, b = 9.4369 Å, c = 9.4369 Å
α = 120.38°, β = 106.85°, γ = 106.85°
Sites, in units of the cell vectors:
Sm: 0.7506 0.2507 0.2507
Sm: 0.2504 0.4175 0.0834
Sm: 0.7496 0.5825 0.9166
In: 0.0000 0.3335 0.6665
In: 0.5000 0.8309 0.1691
In: 0.5000 0.1691 0.8309
Pb: 0.0000 0.0000 0.0000
Sm: 0.2494 0.7493 0.7493
Sm: 0.2504 0.0834 0.4175
In: 0.0000 0.6665 0.3335
In: 0.5000 0.5000 0.5000
Sm: 0.7496 0.9166 0.5825

---

No. 5
VASP calculation (PBE) on a relaxed structure of SmInPb2.

Symmetry   P4/mmm, No. 123
Uncorrected energy   -16.36 eV for the cell shown

a = 4.8484 Å, b = 4.8366 Å, c = 4.8366 Å
α = 90.00°, β = 90.00°, γ = 90.00°
Sites, in units of the cell vectors:
Pb: 0.0000 0.5000 0.0000
In: 0.5000 0.0000 0.0000
Pb: 0.0000 0.0000 0.5000
Sm: 0.5000 0.5000 0.5000

---

No. 6
VASP calculation (PBE) on a relaxed structure of Sm10In3Pb3.

Symmetry   P-62m, No. 189
Uncorrected energy   -73.65 eV for the cell shown

a = 6.8533 Å, b = 9.2297 Å, c = 9.2297 Å
α = 120.00°, β = 90.00°, γ = 90.00°
Sites, in units of the cell vectors:
Sm: 0.2457 0.3333 0.6667
Sm: 0.7543 0.3333 0.6667
Sm: 0.7543 0.6667 0.3333
Sm: 0.2457 0.6667 0.3333
Sm: 0.0000 0.7643 0.7643
In: 0.0000 0.4006 0.4006
Pb: 0.5000 0.3973 0.0000
Sm: 0.5000 0.0000 0.7615
Sm: 0.0000 0.0000 0.2357
Sm: 0.5000 0.7615 0.0000
Sm: 0.0000 0.2357 0.0000
Pb: 0.5000 0.6027 0.6027
Sm: 0.5000 0.2385 0.2385
In: 0.0000 0.0000 0.5994
In: 0.0000 0.5994 0.0000
Pb: 0.5000 0.0000 0.3973

---

No. 7
VASP calculation (PBE) on a relaxed structure of Sm12In6Pb.

Symmetry   R-3, No. 148
Uncorrected energy   -79.97 eV for the cell shown

a = 8.9734 Å, b = 8.9734 Å, c = 8.9734 Å
α = 107.42°, β = 107.42°, γ = 107.42°
Sites, in units of the cell vectors:
Sm: 0.8829 0.3444 0.0348
Sm: 0.3444 0.0348 0.8829
Sm: 0.3161 0.3998 0.0645
In: 0.2507 0.6610 0.3546
Sm: 0.9355 0.6839 0.6002
Sm: 0.9652 0.1171 0.6556
In: 0.7493 0.3390 0.6454
Sm: 0.6839 0.6002 0.9355
Sm: 0.0645 0.3161 0.3998
In: 0.3546 0.2507 0.6610
Sm: 0.1171 0.6556 0.9652
Sm: 0.6556 0.9652 0.1171
In: 0.6454 0.7493 0.3390
Sm: 0.6002 0.9355 0.6839
Pb: 0.0000 0.0000 0.0000
Sm: 0.0348 0.8829 0.3444
In: 0.6610 0.3546 0.2507
Sm: 0.3998 0.0645 0.3161
In: 0.3390 0.6454 0.7493

---

No. 8
VASP calculation (PBE) on a relaxed structure of Sm5InPb4.

Symmetry   I4, No. 79
Uncorrected energy   -44.68 eV for the cell shown

a = 6.4673 Å, b = 7.7599 Å, c = 7.7599 Å
α = 80.00°, β = 65.37°, γ = 65.37°
Sites, in units of the cell vectors:
Sm: 0.2756 0.7844 0.5946
Sm: 0.6546 0.2156 0.4054
Sm: 0.0600 0.5946 0.2156
Sm: 0.6472 0.0000 0.0000
Pb: 0.3599 0.3878 0.8184
In: 0.1509 0.0000 0.0000
Pb: 0.5660 0.6122 0.1816
Pb: 0.1782 0.1816 0.3878
Sm: 0.8702 0.4054 0.7844
Pb: 0.7477 0.8184 0.6122

---

No. 9
VASP calculation (PBE) on a relaxed structure of SmIn4Pb.

Symmetry   F-43m, No. 216
Uncorrected energy   -20.19 eV for the cell shown

a = 6.1397 Å, b = 6.1397 Å, c = 6.1397 Å
α = 60.00°, β = 60.00°, γ = 60.00°
Sites, in units of the cell vectors:
In: 0.6251 0.6251 0.1248
In: 0.1248 0.6251 0.6251
In: 0.6251 0.1248 0.6251
Sm: 0.0000 0.0000 0.0000
In: 0.6251 0.6251 0.6251
Pb: 0.2500 0.2500 0.2500

---

No. 10
VASP calculation (PBE) on a relaxed structure of Sm5In2Pb.

Symmetry   I4/mcm, No. 140
Uncorrected energy   -72.23 eV for the cell shown

a = 8.6153 Å, b = 8.6153 Å, c = 8.9895 Å
α = 118.63°, β = 118.63°, γ = 90.00°
Sites, in units of the cell vectors:
Sm: 0.5000 0.5000 0.0000
Sm: 0.8085 0.9921 0.3006
Sm: 0.1915 0.0079 0.6994
Pb: 0.2500 0.2500 0.5000
Sm: 0.5079 0.6915 0.6994
In: 0.3608 0.8608 0.0000
In: 0.8608 0.6392 0.0000
Sm: 0.9921 0.4921 0.3006
Sm: 0.0000 0.0000 0.0000
Sm: 0.6915 0.1915 0.6994
Sm: 0.0079 0.5079 0.6994
Sm: 0.3085 0.8085 0.3006
In: 0.1392 0.3608 0.0000
In: 0.6392 0.1392 0.0000
Sm: 0.4921 0.3085 0.3006
Pb: 0.7500 0.7500 0.5000

---

No. 11
VASP calculation (PBE) on a relaxed structure of Sm6In5Pb.

Excess energy over the best structure of this formula in the dataset   0.0 meV per atom
Symmetry   Cmmm, No. 65

a = 10.1475 Å, b = 5.0592 Å, c = 8.0116 Å
α = 71.59°, β = 80.94°, γ = 60.10°
Sites, in units of the cell vectors:
In: 0.5000 0.5000 0.0000
Pb: 0.0000 0.0000 0.0000
Sm: 0.7492 0.7509 0.0000
In: 0.5000 0.1663 0.6674
Sm: 0.2522 0.5808 0.3337
In: 0.0000 0.3288 0.3424
Sm: 0.2508 0.2491 0.0000
In: 0.5000 0.8337 0.3326
Sm: 0.7478 0.0854 0.3337
Sm: 0.7478 0.4192 0.6663
In: 0.0000 0.6712 0.6576
Sm: 0.2522 0.9146 0.6663

---

No. 12
VASP calculation (PBE) on a relaxed structure of Sm5InPb2.

Excess energy over the best structure of this formula in the dataset   57.1 meV per atom
Symmetry   I4/mmm, No. 139

a = 7.0260 Å, b = 7.0260 Å, c = 6.8918 Å
α = 120.67°, β = 120.64°, γ = 90.00°
Sites, in units of the cell vectors:
Sm: 0.7223 0.7223 0.4446
Pb: 0.7221 0.2221 0.4443
Pb: 0.2221 0.7222 0.4443
In: 0.2219 0.2219 0.4438
Sm: 0.7220 0.7220 0.9442
Sm: 0.2222 0.7220 0.9442
Sm: 0.2222 0.2222 0.9443
Sm: 0.7221 0.2222 0.9443

---

Copy entry 10 word for word.
VASP calculation (PBE) on a relaxed structure of Sm5In2Pb.

Symmetry   I4/mcm, No. 140
Uncorrected energy   -72.23 eV for the cell shown

a = 8.6153 Å, b = 8.6153 Å, c = 8.9895 Å
α = 118.63°, β = 118.63°, γ = 90.00°
Sites, in units of the cell vectors:
Sm: 0.5000 0.5000 0.0000
Sm: 0.8085 0.9921 0.3006
Sm: 0.1915 0.0079 0.6994
Pb: 0.2500 0.2500 0.5000
Sm: 0.5079 0.6915 0.6994
In: 0.3608 0.8608 0.0000
In: 0.8608 0.6392 0.0000
Sm: 0.9921 0.4921 0.3006
Sm: 0.0000 0.0000 0.0000
Sm: 0.6915 0.1915 0.6994
Sm: 0.0079 0.5079 0.6994
Sm: 0.3085 0.8085 0.3006
In: 0.1392 0.3608 0.0000
In: 0.6392 0.1392 0.0000
Sm: 0.4921 0.3085 0.3006
Pb: 0.7500 0.7500 0.5000